1.
Here is a relaxed structure of In4HgW from Alexandria via LeMat-Bulk. Energies are from PBE.

Geometry as CIF:
```
data_In4HgW
_cell_length_a 5.787
_cell_length_b 5.787
_cell_length_c 5.787
_cell_angle_alpha 60.00
_cell_angle_beta 60.00
_cell_angle_gamma 60.00
_symmetry_space_group_name_H-M 'P 1'
_symmetry_Int_Tables_number 1
_symmetry_space_group_name_Hall 'P 1'
loop_
_atom_site_label
_atom_site_type_symbol
_atom_site_fract_x
_atom_site_fract_y
_atom_site_fract_z
In1 In 0.375 0.875 0.375
In2 In 0.375 0.375 0.375
In3 In 0.875 0.375 0.375
W1 W 0.750 0.750 0.750
Hg1 Hg 0.000 0.000 0.000
In4 In 0.375 0.375 0.875
```

Values from the calculation:
VASP energy ... -19.067 eV/cell
Volume ... 137 Å³/f.u.
Formation enthalpy at 0 K ... 0.857 eV/atom
Density of states at the Fermi level ... 4.1 states/eV/f.u.
SG ... F-43m, No. 216



2.
Here is a relaxed structure of Ac2DySb4Pd3 from Alexandria via LeMat-Bulk. Energies are from PBE.

Geometry as CIF:
```
data_Ac2DySb4Pd3
_cell_length_a 4.714
_cell_length_b 4.714
_cell_length_c 11.784
_cell_angle_alpha 90.00
_cell_angle_beta 90.00
_cell_angle_gamma 90.00
_symmetry_space_group_name_H-M 'P 1'
_symmetry_Int_Tables_number 1
_symmetry_space_group_name_Hall 'P 1'
loop_
_atom_site_label
_atom_site_type_symbol
_atom_site_fract_x
_atom_site_fract_y
_atom_site_fract_z
Ac1 Ac 0.000 0.500 0.774
Sb1 Sb 0.000 0.500 0.347
Sb2 Sb 0.000 0.000 0.000
Pd1 Pd 0.000 0.500 0.120
Pd2 Pd 0.000 0.000 0.500
Sb3 Sb 0.500 0.500 0.000
Sb4 Sb 0.500 0.000 0.653
Ac2 Ac 0.500 0.000 0.226
Pd3 Pd 0.500 0.000 0.880
Dy1 Dy 0.500 0.500 0.500
```

Values from the calculation:
Energy relative to the elements, uncorrected ... -0.89 eV per atom
VASP energy ... -53.783 eV/cell
Volume ... 262 Å³/f.u.
Density of states at the Fermi level ... 4.2 states/eV/f.u.
SG ... P-4m2, No. 115



3.
Here is a relaxed structure of MgZnPt2F from Alexandria via LeMat-Bulk. Energies are from PBE.

Geometry as CIF:
```
data_MgZnPt2F
_cell_length_a 4.654
_cell_length_b 4.988
_cell_length_c 4.654
_cell_angle_alpha 90.00
_cell_angle_beta 90.00
_cell_angle_gamma 90.00
_symmetry_space_group_name_H-M 'P 1'
_symmetry_Int_Tables_number 1
_symmetry_space_group_name_Hall 'P 1'
loop_
_atom_site_label
_atom_site_type_symbol
_atom_site_fract_x
_atom_site_fract_y
_atom_site_fract_z
Pt1 Pt 0.500 0.000 0.000
F1 F 0.500 0.500 0.500
Zn1 Zn 0.000 0.500 0.000
Pt2 Pt 0.000 0.000 0.500
Mg1 Mg 0.000 0.000 0.000
```

Values from the calculation:
Energy relative to the elements, uncorrected ... 0.68 eV per atom
VASP energy ... -13.438 eV/cell
Volume ... 108 Å³/f.u.
Density of states at the Fermi level ... 3.4 states/eV/f.u.
SG ... P4/mmm, No. 123



4.
Here is a relaxed structure of Mg5Cd2Rh2 from Alexandria via LeMat-Bulk. Energies are from PBE.

Geometry as CIF:
```
data_Mg5Cd2Rh2
_cell_length_a 4.075
_cell_length_b 7.328
_cell_length_c 7.357
_cell_angle_alpha 69.38
_cell_angle_beta 73.92
_cell_angle_gamma 73.85
_symmetry_space_group_name_H-M 'P 1'
_symmetry_Int_Tables_number 1
_symmetry_space_group_name_Hall 'P 1'
loop_
_atom_site_label
_atom_site_type_symbol
_atom_site_fract_x
_atom_site_fract_y
_atom_site_fract_z
Cd1 Cd 0.932 0.718 0.417
Mg1 Mg 0.000 0.000 0.000
Mg2 Mg 0.182 0.492 0.143
Mg3 Mg 0.672 0.955 0.702
Mg4 Mg 0.328 0.045 0.298
Rh1 Rh 0.429 0.242 0.899
Mg5 Mg 0.818 0.508 0.857
Rh2 Rh 0.571 0.758 0.101
Cd2 Cd 0.068 0.282 0.583
```

Values from the calculation:
Relative energy among the computed polymorphs ... 125 meV per atom
VASP energy ... -25.644 eV/cell
Volume ... 194 Å³/f.u.
Formation enthalpy at 0 K ... -0.126 eV/atom
Density of states at the Fermi level ... 4.3 states/eV/f.u.
SG ... C2/m, No. 12



5.
Here is a relaxed structure of V4SeS3 from Alexandria via LeMat-Bulk. Energies are from PBE.

Geometry as CIF:
```
data_V4SeS3
_cell_length_a 4.705
_cell_length_b 6.199
_cell_length_c 8.927
_cell_angle_alpha 90.00
_cell_angle_beta 90.00
_cell_angle_gamma 90.00
_symmetry_space_group_name_H-M 'P 1'
_symmetry_Int_Tables_number 1
_symmetry_space_group_name_Hall 'P 1'
loop_
_atom_site_label
_atom_site_type_symbol
_atom_site_fract_x
_atom_site_fract_y
_atom_site_fract_z
V1 V 0.515 0.382 0.500
S1 S 0.596 0.255 0.251
V2 V 0.116 0.370 0.254
V3 V 0.616 0.630 0.246
V4 V 0.116 0.370 0.746
S2 S 0.534 0.745 0.000
V5 V 0.616 0.630 0.754
S3 S 0.096 0.745 0.249
S4 S 0.596 0.255 0.749
Se1 Se 0.030 0.201 0.000
V6 V 0.012 0.633 0.500
S5 S 0.034 0.255 0.500
S6 S 0.096 0.745 0.751
Se2 Se 0.530 0.799 0.500
V7 V 0.015 0.618 0.000
V8 V 0.512 0.367 0.000
```

Values from the calculation:
Energy relative to the elements, uncorrected ... -0.69 eV per atom
VASP energy ... -115.772 eV/cell
Volume ... 130 Å³/f.u.
Density of states at the Fermi level ... 9.0 states/eV/f.u.
SG ... Pmn2_1, No. 31



6.
Here is a relaxed structure of Pm5Sm4Er2 from Alexandria via LeMat-Bulk. Energies are from PBE.

Geometry as CIF:
```
data_Pm5Sm4Er2
_cell_length_a 3.487
_cell_length_b 8.866
_cell_length_c 12.223
_cell_angle_alpha 96.53
_cell_angle_beta 98.20
_cell_angle_gamma 90.00
_symmetry_space_group_name_H-M 'P 1'
_symmetry_Int_Tables_number 1
_symmetry_space_group_name_Hall 'P 1'
loop_
_atom_site_label
_atom_site_type_symbol
_atom_site_fract_x
_atom_site_fract_y
_atom_site_fract_z
Er1 Er 0.768 0.173 0.537
Pm1 Pm 0.909 0.264 0.817
Sm1 Sm 0.954 0.639 0.908
Pm2 Pm 0.857 0.882 0.714
Pm3 Pm 0.091 0.736 0.183
Sm2 Sm 0.046 0.361 0.092
Pm4 Pm 0.143 0.118 0.286
Er2 Er 0.232 0.827 0.463
Sm3 Sm 0.321 0.527 0.642
Pm5 Pm 0.500 0.000 0.000
Sm4 Sm 0.679 0.473 0.358
```

Values from the calculation:
Relative energy among the computed polymorphs ... 0 meV per atom
VASP energy ... -50.200 eV/cell
Volume ... 372 Å³/f.u.
Formation enthalpy at 0 K ... 0.141 eV/atom
Density of states at the Fermi level ... 18.9 states/eV/f.u.
SG ... C2/m, No. 12



- Among the records above, which one has the highest VASP energy?
  MgZnPt2F



- Which formula does entry 4 have?
  Mg5Cd2Rh2



- What is the volume in the sixth record?
  372 Å³/f.u.